Compound: Mn2Ag2Br2F5
Source: the Alexandria database
Functional: PBE with a Hubbard U
Structure: optimized geometry

```
11
Lattice="3.946 0.000 0.000 0.000 3.946 0.000 -1.973 -1.973 13.432" Properties=species:S:1:pos:R:3 pbc="T T T"
Mn 0.000 0.000 2.015
Mn 1.973 1.973 11.416
Ag 0.000 0.000 8.519
Ag 1.973 1.973 4.913
Br 0.000 0.000 5.226
Br 1.973 1.973 8.206
F 0.000 0.000 0.000
F 1.973 0.000 2.385
F 1.973 0.000 11.047
F 0.000 1.973 2.385
F 0.000 1.973 11.047
```

Computed properties:
Theoretical density, g/cm³: 4.61
Total moment, μB/f.u.: 9.228
E, eV/cell: -51.95
DOS at the Fermi energy, states/eV/cell: 2.4
Space group: I4/mmm, No. 139